Record 1
This record from Alexandria describes a crystal of PSN2F relaxed with PBEsol. The functional is meta-GGA SCAN.

Cell: 3.5709 3.5709 3.5940 Å, 90.00 90.00 90.00°
With the nearest neighbours (Å) after each atom.
Fractional positions:
N (0.5000, 0.0000, 0.0000)  2 P 1.79
P (0.0000, 0.0000, 0.0000)  4 N 1.79, 2 F 1.80
F (0.0000, 0.0000, 0.5000)  2 P 1.80
S (0.5000, 0.5000, 0.5000)  4 F 2.53, 8 N 2.53
N (0.0000, 0.5000, 0.0000)  2 P 1.79

## Properties
distance to the lowest polymorph of the same formula = 0.00 eV per formula unit
E = -7.621 eV per atom
formation energy from raw total energies = 0.81 eV per atom

Record 2
This record from Alexandria describes a crystal of SbPNF2 relaxed with PBEsol. The functional is meta-GGA SCAN.

Cell: 4.3259 4.2278 4.2278 Å, 90.00 90.00 90.00°
With the nearest neighbours (Å) after each atom.
Fractional positions:
N (0.5000, 0.0000, 0.0000)  2 Sb 2.16
F (0.0000, 0.0000, 0.5000)  2 Sb 2.11
Sb (0.0000, 0.0000, 0.0000)  4 F 2.11, 2 N 2.16
P (0.5000, 0.5000, 0.5000)  4 N 2.99, 8 F 3.02
F (0.0000, 0.5000, 0.0000)  2 Sb 2.11

## Properties
E = -12.793 eV per atom
formation energy from raw total energies = 0.01 eV per atom

Record 3
This record from Alexandria describes a crystal of ScPNF2 relaxed with PBEsol. The functional is meta-GGA SCAN.

Cell: 3.8646 3.8646 4.5642 Å, 90.00 90.00 90.00°
With the nearest neighbours (Å) after each atom.
Fractional positions:
P (0.5000, 0.5000, 0.5000)  4 N 2.73, 8 F 2.99
F (0.5000, 0.0000, 0.0000)  2 Sc 1.93
N (0.0000, 0.0000, 0.5000)  2 Sc 2.28
Sc (0.0000, 0.0000, 0.0000)  4 F 1.93
F (0.0000, 0.5000, 0.0000)  2 Sc 1.93

## Properties
E = -9.615 eV per atom
formation energy from raw total energies = -1.41 eV per atom

Record 4
This record from Alexandria describes a crystal of SnPN2F relaxed with PBEsol. The functional is meta-GGA SCAN.

Cell: 3.5956 3.5956 4.2135 Å, 90.00 90.00 90.00°
With the nearest neighbours (Å) after each atom.
Fractional positions:
N (0.5000, 0.0000, 0.0000)  2 P 1.80
F (0.0000, 0.0000, 0.5000)  2 P 2.11
P (0.0000, 0.0000, 0.0000)  4 N 1.80
N (0.0000, 0.5000, 0.0000)  2 P 1.80
Sn (0.5000, 0.5000, 0.5000)  4 F 2.54, 8 N 2.77

## Properties
E = -13.539 eV per atom
formation energy from raw total energies = 0.15 eV per atom

Record 5
This record from Alexandria describes a crystal of PWNF2 relaxed with PBEsol. The functional is meta-GGA SCAN.

Cell: 3.9368 4.0446 4.0446 Å, 90.00 90.00 90.00°
With the nearest neighbours (Å) after each atom.
Fractional positions:
F (0.0000, 0.5000, 0.0000)  2 W 2.02
P (0.5000, 0.5000, 0.5000)  8 F 2.82, 4 N 2.86
N (0.5000, 0.0000, 0.0000)  2 W 1.97
F (0.0000, 0.0000, 0.5000)  2 W 2.02
W (0.0000, 0.0000, 0.0000)  2 N 1.97, 4 F 2.02

## Properties
E = -19.495 eV per atom
formation energy from raw total energies = -0.20 eV per atom

Record 6
This record from Alexandria describes a crystal of ZnPN2F relaxed with PBEsol. The functional is meta-GGA SCAN.

Cell: 3.4853 3.4853 3.7557 Å, 90.00 90.00 90.00°
With the nearest neighbours (Å) after each atom.
Fractional positions:
N (0.5000, 0.0000, 0.0000)  2 P 1.74
P (0.0000, 0.0000, 0.0000)  4 N 1.74, 2 F 1.88
F (0.0000, 0.0000, 0.5000)  2 P 1.88
Zn (0.5000, 0.5000, 0.5000)  4 F 2.46, 8 N 2.56
N (0.0000, 0.5000, 0.0000)  2 P 1.74

## Properties
E = -9.071 eV per atom
formation energy from raw total energies = 0.14 eV per atom

Record 7
This record from Alexandria describes a crystal of ZrPN2F relaxed with PBEsol. The functional is meta-GGA SCAN.

Cell: 3.7293 3.6907 3.6907 Å, 90.00 90.00 90.00°
With the nearest neighbours (Å) after each atom.
Fractional positions:
Zr (0.5000, 0.5000, 0.5000)  4 F 2.61, 8 N 2.62
N (0.0000, 0.0000, 0.5000)  2 P 1.85
P (0.0000, 0.0000, 0.0000)  4 N 1.85, 2 F 1.86
N (0.0000, 0.5000, 0.0000)  2 P 1.85
F (0.5000, 0.0000, 0.0000)  2 P 1.86

## Properties
E = -12.974 eV per atom
formation energy from raw total energies = -0.33 eV per atom

Record 8
This record from Alexandria describes a crystal of PbNF2 relaxed with PBEsol. The functional is meta-GGA SCAN.

Cell: 3.3476 3.3476 7.2232 Å, 76.60 76.60 60.00°
With the nearest neighbours (Å) after each atom.
Fractional positions:
F (0.8936, 0.8936, 0.3192)  1 Pb 2.22, 3 N 2.31
N (0.5000, 0.5000, 0.5000)  6 F 2.31
Pb (0.0000, 0.0000, 0.0000)  2 F 2.22
F (0.1064, 0.1064, 0.6808)  1 Pb 2.22, 3 N 2.31

## Properties
E = -22.598 eV per atom
formation energy from raw total energies = 0.44 eV per atom

Record 9
This record from Alexandria describes a crystal of PdPbN2F relaxed with PBEsol. The functional is meta-GGA SCAN.

Cell: 3.7868 3.7868 5.0612 Å, 90.00 90.00 90.00°
With the nearest neighbours (Å) after each atom.
Fractional positions:
N (0.0000, 0.5000, 0.0000)  2 Pd 1.89
Pb (0.5000, 0.5000, 0.5000)  4 F 2.68
F (0.0000, 0.0000, 0.5000)  2 Pd 2.53, 4 Pb 2.68
Pd (0.0000, 0.0000, 0.0000)  4 N 1.89
N (0.5000, 0.0000, 0.0000)  2 Pd 1.89

## Properties
E = -25.677 eV per atom
formation energy from raw total energies = 0.46 eV per atom

Record 10
This record from Alexandria describes a crystal of RhPbNF2 relaxed with PBEsol. The functional is meta-GGA SCAN.

Cell: 3.6808 4.4048 4.4048 Å, 90.00 90.00 90.00°
With the nearest neighbours (Å) after each atom.
Fractional positions:
F (0.0000, 0.0000, 0.5000)  2 Rh 2.20
Pb (0.5000, 0.5000, 0.5000)  8 F 2.87, 4 N 3.11
Rh (0.0000, 0.0000, 0.0000)  2 N 1.84
N (0.5000, 0.0000, 0.0000)  2 Rh 1.84
F (0.0000, 0.5000, 0.0000)  2 Rh 2.20

## Properties
E = -25.872 eV per atom
formation energy from raw total energies = -0.69 eV per atom

Record 11
This record from Alexandria describes a crystal of Pb2SNF relaxed with PBEsol. The functional is meta-GGA SCAN.

Cell: 4.2128 4.9715 4.9715 Å, 90.00 90.00 90.00°
With the nearest neighbours (Å) after each atom.
Fractional positions:
N (0.5000, 0.5000, 0.5000)  8 Pb 3.26, 4 S 3.52
S (0.5000, 0.0000, 0.0000)  2 F 2.11
Pb (0.0000, 0.5000, 0.0000)  2 F 2.49
Pb (0.0000, 0.0000, 0.5000)  2 F 2.49
F (0.0000, 0.0000, 0.0000)  2 S 2.11

## Properties
E = -34.175 eV per atom
formation energy from raw total energies = 0.63 eV per atom

Record 12
This record from Alexandria describes a crystal of PbS2NF relaxed with PBEsol. The functional is meta-GGA SCAN.

Cell: 4.2289 4.2289 4.8491 Å, 90.00 90.00 90.00°
With the nearest neighbours (Å) after each atom.
Fractional positions:
S (0.0000, 0.5000, 0.0000)  2 F 2.11
F (0.0000, 0.0000, 0.0000)  4 S 2.11
N (0.0000, 0.0000, 0.5000)  2 F 2.42
S (0.5000, 0.0000, 0.0000)  2 F 2.11
Pb (0.5000, 0.5000, 0.5000)  4 N 2.99, 8 S 3.22

## Properties
E = -20.618 eV per atom
formation energy from raw total energies = 0.96 eV per atom

Record 13
This record from Alexandria describes a crystal of SnPbNF2 relaxed with PBEsol. The functional is meta-GGA SCAN.

Cell: 4.0768 4.4294 4.4294 Å, 90.00 90.00 90.00°
With the nearest neighbours (Å) after each atom.
Fractional positions:
Sn (0.0000, 0.0000, 0.0000)  2 N 2.04, 4 F 2.21
N (0.5000, 0.0000, 0.0000)  2 Sn 2.04
F (0.0000, 0.5000, 0.0000)  2 Sn 2.21
F (0.0000, 0.0000, 0.5000)  2 Sn 2.21
Pb (0.5000, 0.5000, 0.5000)  8 F 3.01, 4 N 3.13

## Properties
E = -26.497 eV per atom
formation energy from raw total energies = -0.88 eV per atom

Record 14
This record from Alexandria describes a crystal of TcPbNF2 relaxed with PBEsol. The functional is meta-GGA SCAN.

Cell: 4.3057 4.4509 4.4509 Å, 90.00 90.00 90.00°
With the nearest neighbours (Å) after each atom.
Fractional positions:
F (0.0000, 0.0000, 0.5000)  2 Pb 2.23
Pb (0.0000, 0.0000, 0.0000)  2 N 2.15, 4 F 2.23
N (0.5000, 0.0000, 0.0000)  2 Pb 2.15
F (0.0000, 0.5000, 0.0000)  2 Pb 2.23
Tc (0.5000, 0.5000, 0.5000)  8 F 3.10, 4 N 3.15

## Properties
E = -25.262 eV per atom
formation energy from raw total energies = 0.18 eV per atom